## w
The following is a DFT calculation (GGA-PBE) of a relaxed BeCr2Rh crystal.

## Properties
Crystal system: tetragonal
V in Å³ per atom: 12.581
Theoretical density in g/cm3: 7.1

Unit cell a=4.180 b=4.180 c=2.881 alpha=90.00 beta=90.00 gamma=90.00
Space group P4/mmm (No. 123)
Inequivalent atoms, fractional coordinates:
Be (0.000, 0.000, 0.000)
Cr (0.000, 0.500, 0.500)
Rh (0.500, 0.500, 0.000)

---

## x
The following is a DFT calculation (GGA-PBE) of a relaxed BeCr2Rh crystal.

## Properties
Crystal system: tetragonal
V in Å³ per atom: 12.036
Theoretical density in g/cm3: 7.4

Unit cell a=3.290 b=3.290 c=17.788 alpha=90.00 beta=90.00 gamma=90.00
Space group I-42d (No. 122)
Inequivalent atoms, fractional coordinates:
Be (0.000, 0.000, 0.000)
Cr (0.215, 0.250, 0.125)
Rh (0.000, 0.000, 0.500)

---

Relative to the most stable structure, the computed energies are w 0; x 66, all in meV/atom.